AlCF3 | PBEsol | relaxed

Values from the calculation:
Its mass density is 3.144 g cm⁻³. As for the magnetization: 2.0 μB per formula unit. As for the raw formation energy: -1.10 eV per atom. Its raw total energy is -5.007 eV/atom.

Lattice parameters (Å, degrees): 3.7012 3.7012 3.7012 90.00 90.00 90.00
Closest atoms and distances in Å follow each position.
Atoms (fractional coordinates):
C: 0.0000 0.0000 0.0000  12 F 2.62
Al: 0.5000 0.5000 0.5000  6 F 1.85
F: 0.0000 0.5000 0.5000  2 Al 1.85
F: 0.5000 0.0000 0.5000  2 Al 1.85
F: 0.5000 0.5000 0.0000  2 Al 1.85


Al2P2H8C2NO8F | PBEsol | relaxed

Values from the calculation:
Its mass density is 2.144 g cm⁻³. As for the magnetization: 0.0 μB per formula unit. Its raw total energy is -6.503 eV/atom.

Lattice parameters (Å, degrees): 8.6492 9.4289 12.6989 90.00 90.00 112.41
Closest atoms and distances in Å follow each position.
Atoms (fractional coordinates):
Al: 0.0915 0.5651 0.4019  4 O 1.81-1.93, 2 F 1.89-1.92
Al: 0.4085 0.4349 0.9019  4 O 1.81-1.93, 2 F 1.89-1.92
Al: 0.9085 0.4349 0.5981  4 O 1.81-1.93, 2 F 1.89-1.92
Al: 0.5915 0.5651 0.0981  4 O 1.81-1.93, 2 F 1.89-1.92
Al: 0.3177 0.8732 0.1174  4 O 1.74-1.76
Al: 0.1823 0.1268 0.6174  4 O 1.74-1.76
Al: 0.6823 0.1268 0.8826  4 O 1.74-1.76
Al: 0.8177 0.8732 0.3826  4 O 1.74-1.76
P: 0.0175 0.7828 0.5508  4 O 1.53-1.56
P: 0.4825 0.2172 0.0508  4 O 1.53-1.56
P: 0.9825 0.2172 0.4492  4 O 1.53-1.56
P: 0.5175 0.7828 0.9492  4 O 1.53-1.56
P: 0.4548 0.7069 0.2897  4 O 1.52-1.55
P: 0.0452 0.2931 0.7897  4 O 1.52-1.55
P: 0.5452 0.2931 0.7103  4 O 1.52-1.55
P: 0.9548 0.7069 0.2103  4 O 1.52-1.55
H: 0.4162 0.6728 0.7420  1 N 1.06
H: 0.0838 0.3272 0.2420  1 N 1.06
H: 0.5838 0.3272 0.2580  1 N 1.06
H: 0.9162 0.6728 0.7580  1 N 1.06
H: 0.2722 0.6411 0.6439  1 N 1.04
H: 0.2278 0.3589 0.1439  1 N 1.04
H: 0.7278 0.3589 0.3561  1 N 1.04
H: 0.7722 0.6411 0.8561  1 N 1.04
H: 0.6146 0.6508 0.6169  1 C 1.10
H: 0.8854 0.3492 0.1169  1 C 1.10
H: 0.3854 0.3492 0.3831  1 C 1.10
H: 0.1146 0.6508 0.8831  1 C 1.10
H: 0.4043 0.9141 0.6924  1 C 1.10
H: 0.0957 0.0859 0.1924  1 C 1.10
H: 0.5957 0.0859 0.3076  1 C 1.10
H: 0.9043 0.9141 0.8076  1 C 1.10
H: 0.4701 0.6406 0.5123  1 C 1.10
H: 0.0299 0.3594 0.0123  1 C 1.10
H: 0.5299 0.3594 0.4877  1 C 1.10
H: 0.9701 0.6406 0.9877  1 C 1.10
H: 0.5985 0.9062 0.6498  1 C 1.10
H: 0.9015 0.0938 0.1498  1 C 1.10
H: 0.4015 0.0938 0.3502  1 C 1.10
H: 0.0985 0.9062 0.8502  1 C 1.10
H: 0.4200 0.4884 0.6074  1 C 1.10
H: 0.0800 0.5116 0.1074  1 C 1.10
H: 0.5800 0.5116 0.3926  1 C 1.10
H: 0.9200 0.4884 0.8926  1 C 1.10
H: 0.4308 0.8736 0.5569  1 C 1.10
H: 0.0692 0.1264 0.0569  1 C 1.10
H: 0.5692 0.1264 0.4431  1 C 1.10
H: 0.9308 0.8736 0.9431  1 C 1.10
C: 0.4622 0.8576 0.6388  3 H 1.10
C: 0.0378 0.1424 0.1388  3 H 1.10
C: 0.5378 0.1424 0.3612  3 H 1.10
C: 0.9622 0.8576 0.8612  3 H 1.10
C: 0.4822 0.6123 0.5949  3 H 1.10
C: 0.0178 0.3877 0.0949  3 H 1.10
C: 0.5178 0.3877 0.4051  3 H 1.10
C: 0.9822 0.6123 0.9051  3 H 1.10
N: 0.3991 0.6912 0.6610  2 H 1.04-1.06
N: 0.1009 0.3088 0.1610  2 H 1.04-1.06
N: 0.6009 0.3088 0.3390  2 H 1.04-1.06
N: 0.8991 0.6912 0.8390  2 H 1.04-1.06
O: 0.3060 0.6182 0.3592  1 P 1.52
O: 0.1940 0.3818 0.8592  1 P 1.52
O: 0.6940 0.3818 0.6408  1 P 1.52
O: 0.8060 0.6182 0.1408  1 P 1.52
O: 0.5009 0.5955 0.2214  1 P 1.53
O: 0.9991 0.4045 0.7214  1 P 1.53
O: 0.4991 0.4045 0.7786  1 P 1.53
O: 0.0009 0.5955 0.2786  1 P 1.53
O: 0.4192 0.8271 0.2223  1 P 1.54
O: 0.0808 0.1729 0.7223  1 P 1.54
O: 0.5808 0.1729 0.7777  1 P 1.54
O: 0.9192 0.8271 0.2777  1 P 1.54
O: 0.1244 0.7561 0.4629  1 P 1.53
O: 0.3756 0.2439 0.9629  1 P 1.53
O: 0.8756 0.2439 0.5371  1 P 1.53
O: 0.6244 0.7561 0.0371  1 P 1.53
O: 0.9579 0.6482 0.6307  1 P 1.55, 1 H 1.69
O: 0.5421 0.3518 0.1307  1 P 1.55, 1 H 1.69
O: 0.0421 0.3518 0.3693  1 P 1.55, 1 H 1.69
O: 0.4579 0.6482 0.8693  1 P 1.55, 1 H 1.69
O: 0.1204 0.9272 0.6151  1 P 1.55
O: 0.3796 0.0728 0.1151  1 P 1.55
O: 0.8796 0.0728 0.3849  1 P 1.55
O: 0.6204 0.9272 0.8849  1 P 1.55
O: 0.8642 0.8085 0.5037  1 P 1.56
O: 0.6358 0.1915 0.0037  1 P 1.56
O: 0.1358 0.1915 0.4963  1 P 1.56
O: 0.3642 0.8085 0.9963  1 P 1.56
O: 0.6021 0.7961 0.3639  1 P 1.55
O: 0.8979 0.2039 0.8639  1 P 1.55
O: 0.3979 0.2039 0.6361  1 P 1.55
O: 0.1021 0.7961 0.1361  1 P 1.55
F: 0.1297 0.5086 0.5393  2 Al 1.89-1.92, 1 H 1.92
F: 0.3703 0.4914 0.0393  2 Al 1.89-1.92, 1 H 1.92
F: 0.8703 0.4914 0.4607  2 Al 1.89-1.92, 1 H 1.92
F: 0.6297 0.5086 0.9607  2 Al 1.89-1.92, 1 H 1.92


> Number 1 is which compound?

AlCF3